Compound: PrMg3Pt
Source: Alexandria via LeMat-Bulk
Functional: GGA-PBE
Structure: optimized geometry

CIF file:
```
data_PrMg3Pt
_chemical_formula_sum 'Pr2 Mg6 Pt2'
_cell_length_a 5.662
_cell_length_b 5.948
_cell_length_c 7.460
_cell_angle_alpha 90.00
_cell_angle_beta 110.46
_cell_angle_gamma 90.00
_symmetry_space_group_name_H-M 'P 1 21/m 1'
_symmetry_Int_Tables_number 11
_symmetry_space_group_name_Hall '-P 2yb'
loop_
_atom_site_label
_atom_site_type_symbol
_atom_site_fract_x
_atom_site_fract_y
_atom_site_fract_z
Pr1 Pr 0.091 0.250 0.381
Mg1 Mg 0.041 0.250 0.890
Mg2 Mg 0.488 0.504 0.204
Pt1 Pt 0.325 0.750 0.464
```

Calculated total energy in eV/atom: -3.63
Formation energy in meV/atom: -511
Calculated volume in Å³ per atom: 23.536

---

Compound: Pr2Mg2Pt15
Source: Alexandria via LeMat-Bulk
Functional: GGA-PBE
Structure: optimized geometry

CIF file:
```
data_Pr2Mg2Pt15
_chemical_formula_sum 'Pr6 Mg6 Pt45'
_cell_length_a 9.2954
_cell_length_b 9.2954
_cell_length_c 13.6455
_cell_angle_alpha 90.00
_cell_angle_beta 90.00
_cell_angle_gamma 120.00
_symmetry_space_group_name_H-M 'R -3 m'
_symmetry_Int_Tables_number 166
_symmetry_space_group_name_Hall '-R 3 2"'
loop_
_atom_site_label
_atom_site_type_symbol
_atom_site_fract_x
_atom_site_fract_y
_atom_site_fract_z
Pr1 Pr 0.0000 0.0000 0.1501
Mg1 Mg 0.0000 0.0000 0.3989
Pt1 Pt 0.0000 0.3097 0.5000
Pt2 Pt 0.0000 0.5000 0.0000
Pt3 Pt 0.9998 0.4999 0.3432
```

Calculated total energy in eV/atom: -6.05
Formation energy in meV/atom: -609
Calculated volume in Å³ per atom: 17.914

---

Compound: PrMg5Pt3
Source: Alexandria via LeMat-Bulk
Functional: GGA-PBE
Structure: optimized geometry

CIF file:
```
data_PrMg5Pt3
_chemical_formula_sum 'Pr4 Mg20 Pt12'
_cell_length_a 4.085
_cell_length_b 14.308
_cell_length_c 12.817
_cell_angle_alpha 90.00
_cell_angle_beta 90.00
_cell_angle_gamma 90.00
_symmetry_space_group_name_H-M 'C m c m'
_symmetry_Int_Tables_number 63
_symmetry_space_group_name_Hall '-C 2c 2'
loop_
_atom_site_label
_atom_site_type_symbol
_atom_site_fract_x
_atom_site_fract_y
_atom_site_fract_z
Pr1 Pr 0.000 0.168 0.250
Mg1 Mg 0.000 0.000 0.000
Mg2 Mg 0.000 0.199 0.554
Mg3 Mg 0.000 0.437 0.143
Pt1 Pt 0.000 0.142 0.750
Pt2 Pt 0.000 0.384 0.565
```

Calculated total energy in eV/atom: -4.11
Formation energy in meV/atom: -677
Calculated volume in Å³ per atom: 20.809

---

Compound: PrMg2Pt9
Source: Alexandria via LeMat-Bulk
Functional: GGA-PBE
Structure: optimized geometry

CIF file:
```
data_PrMg2Pt9
_chemical_formula_sum 'Pr3 Mg6 Pt27'
_cell_length_a 5.3798
_cell_length_b 5.3798
_cell_length_c 26.1718
_cell_angle_alpha 90.00
_cell_angle_beta 90.00
_cell_angle_gamma 120.00
_symmetry_space_group_name_H-M 'R -3 m'
_symmetry_Int_Tables_number 166
_symmetry_space_group_name_Hall '-R 3 2"'
loop_
_atom_site_label
_atom_site_type_symbol
_atom_site_fract_x
_atom_site_fract_y
_atom_site_fract_z
Pr1 Pr 0.0000 0.0000 0.0000
Mg1 Mg 0.0000 0.0000 0.1452
Pt1 Pt 0.0000 0.0000 0.3335
Pt2 Pt 0.0000 0.0000 0.5000
Pt3 Pt 0.0051 0.5025 0.9136
```

Calculated total energy in eV/atom: -5.83
Formation energy in meV/atom: -638
Calculated volume in Å³ per atom: 18.222

---

Compound: PrMg11Pt
Source: Alexandria via LeMat-Bulk
Functional: GGA-PBE
Structure: optimized geometry

CIF file:
```
data_PrMg11Pt
_chemical_formula_sum 'Pr2 Mg22 Pt2'
_cell_length_a 5.628
_cell_length_b 14.447
_cell_length_c 7.684
_cell_angle_alpha 90.00
_cell_angle_beta 110.27
_cell_angle_gamma 90.00
_symmetry_space_group_name_H-M 'C 1 2/m 1'
_symmetry_Int_Tables_number 12
_symmetry_space_group_name_Hall '-C 2y'
loop_
_atom_site_label
_atom_site_type_symbol
_atom_site_fract_x
_atom_site_fract_y
_atom_site_fract_z
Pr1 Pr 0.000 0.000 0.000
Mg1 Mg 0.000 0.000 0.500
Mg2 Mg 0.097 0.398 0.221
Mg3 Mg 0.192 0.168 0.362
Mg4 Mg 0.250 0.250 0.000
Pt1 Pt 0.000 0.500 0.500
```

Calculated total energy in eV/atom: -2.40
Formation energy in meV/atom: -215
Calculated volume in Å³ per atom: 22.539

---

Compound: PrMgPt2
Source: Alexandria via LeMat-Bulk
Functional: GGA-PBE
Structure: optimized geometry

CIF file:
```
data_PrMgPt2
_chemical_formula_sum 'Pr4 Mg4 Pt8'
_cell_length_a 7.197
_cell_length_b 6.922
_cell_length_c 6.851
_cell_angle_alpha 90.00
_cell_angle_beta 90.00
_cell_angle_gamma 90.00
_symmetry_space_group_name_H-M 'P n m a'
_symmetry_Int_Tables_number 62
_symmetry_space_group_name_Hall '-P 2ac 2n'
loop_
_atom_site_label
_atom_site_type_symbol
_atom_site_fract_x
_atom_site_fract_y
_atom_site_fract_z
Pr1 Pr 0.016 0.250 0.181
Mg1 Mg 0.114 0.750 0.319
Pt1 Pt 0.194 0.047 0.550
```

Calculated total energy in eV/atom: -5.55
Formation energy in meV/atom: -937
Calculated volume in Å³ per atom: 21.328

---

Compound: PrMgPt2
Source: Alexandria via LeMat-Bulk
Functional: GGA-PBE
Structure: optimized geometry

CIF file:
```
data_PrMgPt2
_chemical_formula_sum 'Pr1 Mg1 Pt2'
_cell_length_a 4.836
_cell_length_b 4.836
_cell_length_c 3.514
_cell_angle_alpha 90.00
_cell_angle_beta 90.00
_cell_angle_gamma 90.00
_symmetry_space_group_name_H-M 'P 4/m m m'
_symmetry_Int_Tables_number 123
_symmetry_space_group_name_Hall '-P 4 2'
loop_
_atom_site_label
_atom_site_type_symbol
_atom_site_fract_x
_atom_site_fract_y
_atom_site_fract_z
Pr1 Pr 0.000 0.000 0.000
Mg1 Mg 0.500 0.500 0.000
Pt1 Pt 0.000 0.500 0.500
```

Calculated total energy in eV/atom: -5.46
Formation energy in meV/atom: -843
Calculated volume in Å³ per atom: 20.549

---

Compound: PrMg9Pt2
Source: Alexandria via LeMat-Bulk
Functional: GGA-PBE
Structure: optimized geometry

CIF file:
```
data_PrMg9Pt2
_chemical_formula_sum 'Pr4 Mg36 Pt8'
_cell_length_a 11.661
_cell_length_b 11.661
_cell_length_c 7.534
_cell_angle_alpha 90.00
_cell_angle_beta 90.00
_cell_angle_gamma 90.00
_symmetry_space_group_name_H-M 'I 41/a m d'
_symmetry_Int_Tables_number 141
loop_
_symmetry_equiv_pos_as_xyz
'x,y,z'
'-x,-y,-z'
'-y+1/4,x+3/4,z+1/4'
'y+1/4,-x+3/4,-z+1/4'
'-x+1/2,-y,z+1/2'
'x+1/2,y,-z+1/2'
'y+1/4,-x+1/4,z+3/4'
'-y+1/4,x+1/4,-z+3/4'
'x,-y,-z'
'-x,y,z'
'-y+1/4,-x+1/4,-z+3/4'
'y+1/4,x+1/4,z+3/4'
'-x+1/2,y,-z+1/2'
'x+1/2,-y,z+1/2'
'y+1/4,x+3/4,-z+1/4'
'-y+1/4,-x+3/4,z+1/4'
'x+1/2,y+1/2,z+1/2'
'-x+1/2,-y+1/2,-z+1/2'
'-y+3/4,x+1/4,z+3/4'
'y+3/4,-x+1/4,-z+3/4'
'-x,-y+1/2,z'
'x,y+1/2,-z'
'y+3/4,-x+3/4,z+1/4'
'-y+3/4,x+3/4,-z+1/4'
'x+1/2,-y+1/2,-z+1/2'
'-x+1/2,y+1/2,z+1/2'
'-y+3/4,-x+3/4,-z+1/4'
'y+3/4,x+3/4,z+1/4'
'-x,y+1/2,-z'
'x,-y+1/2,z'
'y+3/4,x+1/4,-z+3/4'
'-y+3/4,-x+1/4,z+3/4'
loop_
_atom_site_label
_atom_site_type_symbol
_atom_site_fract_x
_atom_site_fract_y
_atom_site_fract_z
Pr1 Pr 0.000 0.250 0.375
Mg1 Mg 0.000 0.250 0.875
Mg2 Mg 0.122 0.053 0.690
Pt1 Pt 0.000 0.000 0.000
```

Calculated total energy in eV/atom: -3.00
Formation energy in meV/atom: -396
Calculated volume in Å³ per atom: 21.343